Record 1
PrGe2Pd4 | PBE | optimized geometry

Lattice parameters (Å, degrees): 17.4675 4.2878 6.7787 90.00 90.00 90.00
Closest atoms and distances in Å follow each position.
Sites, in units of the cell vectors:
Pr  0.1396  0.2500  0.0210  9 Pd 3.02-3.29, 4 Ge 3.21-3.32
Pr  0.3604  0.7500  0.5210  9 Pd 3.02-3.29, 4 Ge 3.21-3.32
Pr  0.6396  0.2500  0.4790  9 Pd 3.02-3.29, 4 Ge 3.21-3.32
Pr  0.8604  0.7500  0.9790  9 Pd 3.02-3.29, 4 Ge 3.21-3.32
Ge  0.0420  0.7500  0.2669  7 Pd 2.52-2.81
Ge  0.2155  0.2500  0.5484  7 Pd 2.50-2.63
Ge  0.2845  0.7500  0.0484  7 Pd 2.50-2.63
Ge  0.4580  0.2500  0.7669  7 Pd 2.52-2.81
Ge  0.5420  0.7500  0.2331  7 Pd 2.52-2.81
Ge  0.7155  0.2500  0.9516  7 Pd 2.50-2.63
Ge  0.7845  0.7500  0.4516  7 Pd 2.50-2.63
Ge  0.9580  0.2500  0.7331  7 Pd 2.52-2.81
Pd  0.0265  0.7500  0.8545  3 Ge 2.59-2.81
Pd  0.0711  0.2500  0.5022  4 Ge 2.52-2.72
Pd  0.1865  0.7500  0.3360  4 Ge 2.57-2.63, 1 Pd 2.80
Pd  0.2021  0.7500  0.7464  3 Ge 2.50-2.54, 1 Pd 2.80
Pd  0.2979  0.2500  0.2464  3 Ge 2.50-2.54, 1 Pd 2.80
Pd  0.3135  0.2500  0.8360  4 Ge 2.57-2.63, 1 Pd 2.80
Pd  0.4289  0.7500  0.0022  4 Ge 2.52-2.72
Pd  0.4735  0.2500  0.3545  3 Ge 2.59-2.81
Pd  0.5265  0.7500  0.6455  3 Ge 2.59-2.81
Pd  0.5711  0.2500  0.9978  4 Ge 2.52-2.72
Pd  0.6865  0.7500  0.1640  4 Ge 2.57-2.63, 1 Pd 2.80
Pd  0.7021  0.7500  0.7536  3 Ge 2.50-2.54, 1 Pd 2.80
Pd  0.7979  0.2500  0.2536  3 Ge 2.50-2.54, 1 Pd 2.80
Pd  0.8135  0.2500  0.6640  4 Ge 2.57-2.63, 1 Pd 2.80
Pd  0.9289  0.7500  0.4978  4 Ge 2.52-2.72
Pd  0.9735  0.2500  0.1455  3 Ge 2.59-2.81

Values from the calculation:
The calculation puts the polymorph energy (0 for the lowest one) at 0.000 eV/atom.

=====

Record 2
Zn2FeIr | PBE | optimized geometry

Lattice parameters (Å, degrees): 4.4922 2.8071 4.5226 90.00 107.01 90.00
Closest atoms and distances in Å follow each position.
Sites, in units of the cell vectors:
Zn  0.0000  0.0000  0.0000  4 Ir 2.65, 6 Zn 2.66-2.81, 2 Fe 2.68
Zn  0.0000  0.5000  0.5000  4 Fe 2.65, 6 Zn 2.66-2.81, 2 Ir 2.68
Fe  0.5000  0.0000  0.5000  6 Zn 2.65-2.68, 4 Ir 2.66, 2 Fe 2.81
Ir  0.5000  0.5000  0.0000  6 Zn 2.65-2.68, 4 Fe 2.66, 2 Ir 2.81

Values from the calculation:
The total energy comes out at -5.037 eV per atom.

=====

Record 3
Sm3Fe3Hg | PBE | optimized geometry

Lattice parameters (Å, degrees): 9.6778 9.6778 3.9716 90.00 90.00 120.00
Closest atoms and distances in Å follow each position.
Sites, in units of the cell vectors:
Sm  0.0778  0.6852  0.2500  4 Fe 2.88-3.12
Sm  0.3148  0.3927  0.2500  4 Fe 2.88-3.12
Sm  0.3927  0.0778  0.7500  4 Fe 2.88-3.12
Sm  0.6073  0.9222  0.2500  4 Fe 2.88-3.12
Sm  0.6852  0.6073  0.7500  4 Fe 2.88-3.12
Sm  0.9222  0.3148  0.7500  4 Fe 2.88-3.12
Fe  0.0219  0.8673  0.7500  6 Fe 2.43
Fe  0.1327  0.1546  0.7500  6 Fe 2.43
Fe  0.1546  0.0219  0.2500  6 Fe 2.43
Fe  0.8454  0.9781  0.7500  6 Fe 2.43
Fe  0.8673  0.8454  0.2500  6 Fe 2.43
Fe  0.9781  0.1327  0.2500  6 Fe 2.43
Hg  0.3333  0.6667  0.7500  6 Sm 3.25
Hg  0.6667  0.3333  0.2500  6 Sm 3.25

Values from the calculation:
The total energy comes out at -5.758 eV per atom.

=====

Record 4
TcH2N | PBE | optimized geometry

Lattice parameters (Å, degrees): 4.2627 4.2627 6.0605 90.00 90.00 90.00
Closest atoms and distances in Å follow each position.
Sites, in units of the cell vectors:
Tc  0.0000  0.2500  0.3750  12 H 2.50-2.51, 4 Tc 2.62, 4 N 2.62
Tc  0.0000  0.7500  0.6250  12 H 2.50-2.51, 4 Tc 2.62, 4 N 2.62
Tc  0.5000  0.2500  0.1250  12 H 2.50-2.51, 4 Tc 2.62, 4 N 2.62
Tc  0.5000  0.7500  0.8750  12 H 2.50-2.51, 4 Tc 2.62, 4 N 2.62
H  0.0000  0.0000  0.0000  2 N 1.31
H  0.0000  0.5000  0.0000  2 N 1.31
H  0.2500  0.2500  0.7500  2 N 1.31
H  0.2500  0.7500  0.2500  2 N 1.31
H  0.5000  0.0000  0.5000  2 N 1.31
H  0.5000  0.5000  0.5000  2 N 1.31
H  0.7500  0.2500  0.7500  2 N 1.31
H  0.7500  0.7500  0.2500  2 N 1.31
N  0.0000  0.2500  0.8750  4 H 1.31
N  0.0000  0.7500  0.1250  4 H 1.31
N  0.5000  0.2500  0.6250  4 H 1.31
N  0.5000  0.7500  0.3750  4 H 1.31

Values from the calculation:
The calculation puts the polymorph energy (0 for the lowest one) at 0.000 eV/atom.

=====

Record 5
KNa2CdAu | PBE | optimized geometry

Lattice parameters (Å, degrees): 5.7797 5.7797 5.3919 90.00 90.00 90.00
Closest atoms and distances in Å follow each position.
Sites, in units of the cell vectors:
K  0.0000  0.0000  0.0000  8 Na 3.95, 4 Au 4.09
Na  0.0000  0.5000  0.5000  2 Cd 2.89
Na  0.5000  0.0000  0.5000  2 Cd 2.89
Cd  0.5000  0.5000  0.5000  2 Au 2.70, 4 Na 2.89
Au  0.5000  0.5000  0.0000  2 Cd 2.70

Values from the calculation:
The calculation puts the polymorph energy (0 for the lowest one) at 0.120 eV/atom.

=====

Record 6
NbCd2O | PBE | optimized geometry

Lattice parameters (Å, degrees): 9.2887 9.2887 3.9722 90.00 90.00 90.00
Closest atoms and distances in Å follow each position.
Sites, in units of the cell vectors:
Nb  0.0000  0.0000  0.0000  2 O 1.99
Nb  0.0000  0.5000  0.2500  2 O 1.99
Nb  0.5000  0.0000  0.7500  2 O 1.99
Nb  0.5000  0.5000  0.5000  2 O 1.99
Cd  0.1401  0.2500  0.6250  2 O 2.71, 2 Cd 2.85
Cd  0.2500  0.6401  0.8750  2 O 2.71, 2 Cd 2.85
Cd  0.2500  0.8599  0.3750  2 O 2.71, 2 Cd 2.85
Cd  0.3599  0.2500  0.1250  2 O 2.71, 2 Cd 2.85
Cd  0.6401  0.7500  0.1250  2 O 2.71, 2 Cd 2.85
Cd  0.7500  0.1401  0.3750  2 O 2.71, 2 Cd 2.85
Cd  0.7500  0.3599  0.8750  2 O 2.71, 2 Cd 2.85
Cd  0.8599  0.7500  0.6250  2 O 2.71, 2 Cd 2.85
O  0.0000  0.0000  0.5000  2 Nb 1.99
O  0.0000  0.5000  0.7500  2 Nb 1.99
O  0.5000  0.0000  0.2500  2 Nb 1.99
O  0.5000  0.5000  0.0000  2 Nb 1.99

Values from the calculation:
For the formation energy (no corrections), the calculation gives -135 meV per atom. The calculation puts the polymorph energy (0 for the lowest one) at 0.000 eV/atom.

=====

Record 7
BaAlCd | PBE | optimized geometry

Lattice parameters (Å, degrees): 5.0551 5.0551 4.3198 90.00 90.00 120.00
Closest atoms and distances in Å follow each position.
Sites, in units of the cell vectors:
Ba  0.0000  0.0000  0.0000  6 Cd 3.63, 6 Al 3.63
Al  0.3333  0.6667  0.5000  3 Cd 2.92
Cd  0.6667  0.3333  0.5000  3 Al 2.92

Values from the calculation:
The total energy comes out at -2.387 eV per atom.

=====

Record 8
Be2CuNi | PBE | optimized geometry

Lattice parameters (Å, degrees): 2.4859 3.5994 4.4037 90.00 106.29 90.00
Closest atoms and distances in Å follow each position.
Sites, in units of the cell vectors:
Be  0.0000  0.0000  0.0000  2 Be 2.18, 3 Cu 2.23-2.36, 4 Ni 2.30
Be  0.1436  0.5000  0.2931  2 Be 2.18, 3 Ni 2.28-2.31, 4 Cu 2.31-2.32
Cu  0.7349  0.0000  0.4732  7 Be 2.23-2.36, 2 Cu 2.49
Ni  0.4156  0.5000  0.8337  7 Be 2.28-2.31, 2 Ni 2.49

Values from the calculation:
The total energy comes out at -4.547 eV per atom.

=====

Record 9
La2GeBrN | PBE | optimized geometry

Lattice parameters (Å, degrees): 5.2194 5.2194 4.3823 90.00 90.00 90.00
Closest atoms and distances in Å follow each position.
Sites, in units of the cell vectors:
La  0.0000  0.5000  0.0000  2 N 2.61
La  0.5000  0.0000  0.0000  2 N 2.61
Ge  0.0000  0.0000  0.5000  8 La 3.41, 4 Br 3.69
Br  0.5000  0.5000  0.5000  2 N 2.19
N  0.5000  0.5000  0.0000  2 Br 2.19

Values from the calculation:
For the formation energy (no corrections), the calculation gives -528 meV per atom.

=====

Record 10
OsOF3 | PBE | optimized geometry

Lattice parameters (Å, degrees): 5.9133 5.1062 5.0401 90.00 90.00 90.00
Closest atoms and distances in Å follow each position.
Sites, in units of the cell vectors:
Os  0.0000  0.0374  0.0000  1 O 1.70
Os  0.5000  0.9626  0.5000  1 O 1.70
O  0.0000  0.2667  0.2441  1 Os 1.70
O  0.5000  0.7333  0.7441  1 Os 1.70
F  0.0000  0.6947  0.8452  1 Os 1.92
F  0.2299  0.1412  0.7299  2 Os 2.00-2.17
F  0.2701  0.8588  0.2299  2 Os 2.00-2.17
F  0.5000  0.3053  0.3452  1 Os 1.92
F  0.7299  0.8588  0.2299  2 Os 2.00-2.17
F  0.7701  0.1412  0.7299  2 Os 2.00-2.17

Values from the calculation:
For the formation energy (no corrections), the calculation gives -1271 meV per atom. The calculation puts the polymorph energy (0 for the lowest one) at 0.000 eV/atom.

=====

Record 11
Th3InIr | PBE | optimized geometry

Lattice parameters (Å, degrees): 5.9602 7.2454 7.2995 90.00 113.93 90.00
Closest atoms and distances in Å follow each position.
Sites, in units of the cell vectors:
Th  0.0197  0.2500  0.3377  1 Ir 2.89
Th  0.4382  0.5235  0.2089  2 Ir 2.78-2.91
Th  0.4382  0.9765  0.2089  2 Ir 2.78-2.91
Th  0.5618  0.0235  0.7911  2 Ir 2.78-2.91
Th  0.5618  0.4765  0.7911  2 Ir 2.78-2.91
Th  0.9803  0.7500  0.6623  1 Ir 2.89
In  0.0901  0.2500  0.8350  1 Ir 2.80
In  0.9099  0.7500  0.1650  1 Ir 2.80
Ir  0.3547  0.7500  0.5049  5 Th 2.78-2.91, 1 In 2.80
Ir  0.6453  0.2500  0.4951  5 Th 2.78-2.91, 1 In 2.80

Values from the calculation:
The total energy comes out at -7.176 eV per atom.

=====

Record 12
Li4In5Pb2 | PBE | optimized geometry

Lattice parameters (Å, degrees): 5.7055 5.7055 11.3278 104.29 104.29 46.48
Closest atoms and distances in Å follow each position.
Sites, in units of the cell vectors:
Li  0.0346  0.0346  0.3307  7 In 3.03-3.35, 2 Pb 3.10, 3 Li 3.27-3.30
Li  0.3040  0.3040  0.2330  6 In 3.10-3.24, 3 Pb 3.21-3.22, 3 Li 3.27-3.30
Li  0.6960  0.6960  0.7670  6 In 3.10-3.24, 3 Pb 3.21-3.22, 3 Li 3.27-3.30
Li  0.9654  0.9654  0.6693  7 In 3.03-3.35, 2 Pb 3.10, 3 Li 3.27-3.30
In  0.1469  0.1469  0.9441  2 In 3.14, 4 Li 3.15-3.24, 5 Pb 3.23-3.52
In  0.2209  0.2209  0.5870  6 Li 3.03-3.35, 1 Pb 3.10, 5 In 3.16-3.33
In  0.5000  0.5000  0.5000  6 Li 3.04-3.17, 6 In 3.19-3.33
In  0.7791  0.7791  0.4130  6 Li 3.03-3.35, 1 Pb 3.10, 5 In 3.16-3.33
In  0.8531  0.8531  0.0559  2 In 3.14, 4 Li 3.15-3.24, 5 Pb 3.23-3.52
Pb  0.4228  0.4228  0.8431  4 In 3.10-3.38, 5 Li 3.10-3.22
Pb  0.5772  0.5772  0.1569  4 In 3.10-3.38, 5 Li 3.10-3.22

Values from the calculation:
The total energy comes out at -2.783 eV per atom.

=====

Computed magnetic moment (μB/f.u.) in order:
0.0, 2.6, 5.1, 0.0, 0.0, 1.1, 0.0, 0.0, 0.0, 0.9, 0.0, 0.0